Record 1
# LaReRu2 GGA-PBEsol relaxed
data_LaReRu2
_symmetry_space_group_name_H-M 'P 1'
_symmetry_Int_Tables_number 1
_symmetry_space_group_name_Hall 'P 1'
_cell_length_a 2.9186
_cell_length_b 4.9682
_cell_length_c 5.0152
_cell_angle_alpha 98.43
_cell_angle_beta 106.92
_cell_angle_gamma 90.00
loop_
_atom_site_label
_atom_site_type_symbol
_atom_site_fract_x
_atom_site_fract_y
_atom_site_fract_z
Re1 Re 0.2766 0.8246 0.5532
Ru1 Ru 0.0015 0.9724 0.0030
Ru2 Ru 0.7256 0.2265 0.4512
La1 La 0.4963 0.4765 0.9926
# calculated volume = 17.19 A^3/atom
# E_form = 0.4071 eV/atom


Record 2
# Au2SeF GGA-PBEsol relaxed
data_Au2SeF
_symmetry_space_group_name_H-M 'P 1'
_symmetry_Int_Tables_number 1
_symmetry_space_group_name_Hall 'P 1'
_cell_length_a 4.4829
_cell_length_b 4.4829
_cell_length_c 8.0724
_cell_angle_alpha 106.12
_cell_angle_beta 106.12
_cell_angle_gamma 90.00
loop_
_atom_site_label
_atom_site_type_symbol
_atom_site_fract_x
_atom_site_fract_y
_atom_site_fract_z
Se1 Se 0.0000 0.0000 0.0000
Se2 Se 0.2500 0.7500 0.5000
Au1 Au 0.8463 0.3750 0.2500
Au2 Au 0.4037 0.8750 0.2500
Au3 Au 0.1250 0.1537 0.7500
Au4 Au 0.6250 0.5963 0.7500
F1 F 0.7500 0.2500 0.5000
F2 F 0.5000 0.5000 0.0000
# calculated volume = 18.65 A^3/atom
# formation energy without anion corrections = -6.4 kJ per mole of atoms


Number 1: calculated total energy -37.39 eV per formula unit. Number 2: calculated total energy -13.89 eV per formula unit.